# Tb3Dy2Y4

A relaxed Tb3Dy2Y4 crystal (PBE, the Alexandria database).

Summary:
crystal system	monoclinic
total DFT energy (no corrections)	-5.420	eV per atom
total magnetization	0.000	μB/atom

abc: 6.169 6.169 14.687
angles: 110.59 110.59 33.54
Fractional coordinates of all 9 atoms:
Tb 0.000 0.000 0.000
Tb 0.111 0.111 0.443
Tb 0.889 0.889 0.557
Dy 0.445 0.445 0.778
Dy 0.555 0.555 0.222
Y 0.222 0.222 0.889
Y 0.334 0.334 0.335
Y 0.666 0.666 0.665
Y 0.778 0.778 0.111